1.
Here is HoLu2Fe3Co6 after structural relaxation from OQMD. Energies are from PBE.

## Properties
Total magnetization (μB/cell): 13.55
Volume (Å³/atom): 14.30
Calculated formation energy (eV per atom): -0.23
ρ (g cm⁻³): 10.03

a = 8.3554 Å, b = 8.3554 Å, c = 8.3554 Å
α = 35.02°, β = 35.02°, γ = 35.02°
Atoms (fractional coordinates):
Ho 0.0000 0.0000 0.0000
Lu 0.1410 0.1410 0.1410
Lu 0.8590 0.8590 0.8590
Fe 0.3338 0.3338 0.3338
Fe 0.5000 0.5000 0.5000
Fe 0.6662 0.6662 0.6662
Co 0.0796 0.5845 0.5845
Co 0.4155 0.4155 0.9204
Co 0.4155 0.9204 0.4155
Co 0.5845 0.0796 0.5845
Co 0.5845 0.5845 0.0796
Co 0.9204 0.4155 0.4155

=====

2.
Here is HoLu2Fe7Co2 after structural relaxation from OQMD. Energies are from PBE.

## Properties
Total magnetization (μB/cell): 15.98
Volume (Å³/atom): 14.51
Calculated formation energy (eV per atom): -0.15
ρ (g cm⁻³): 9.76

a = 8.5718 Å, b = 8.5718 Å, c = 8.5718 Å
α = 33.84°, β = 33.84°, γ = 33.84°
Atoms (fractional coordinates):
Ho 0.0000 0.0000 0.0000
Lu 0.1423 0.1423 0.1423
Lu 0.8577 0.8577 0.8577
Fe 0.0821 0.5829 0.5829
Fe 0.4171 0.4171 0.9179
Fe 0.4171 0.9179 0.4171
Fe 0.5000 0.5000 0.5000
Fe 0.5829 0.0821 0.5829
Fe 0.5829 0.5829 0.0821
Fe 0.9179 0.4171 0.4171
Co 0.3327 0.3327 0.3327
Co 0.6673 0.6673 0.6673

=====

3.
Here is Ho2LuFe8Co after structural relaxation from OQMD. Energies are from PBE.

## Properties
Total magnetization (μB/cell): 17.08
Volume (Å³/atom): 14.67
Calculated formation energy (eV per atom): -0.12
ρ (g cm⁻³): 9.53

a = 8.5413 Å, b = 8.5413 Å, c = 8.5413 Å
α = 34.25°, β = 34.25°, γ = 34.25°
Atoms (fractional coordinates):
Ho 0.1418 0.1418 0.1418
Ho 0.8582 0.8582 0.8582
Lu 0.0000 0.0000 0.0000
Fe 0.0813 0.5815 0.5815
Fe 0.3328 0.3328 0.3328
Fe 0.4185 0.4185 0.9187
Fe 0.4185 0.9187 0.4185
Fe 0.5815 0.0813 0.5815
Fe 0.5815 0.5815 0.0813
Fe 0.6672 0.6672 0.6672
Fe 0.9187 0.4185 0.4185
Co 0.5000 0.5000 0.5000

=====

4.
Here is Ho2LuFeCo8 after structural relaxation from OQMD. Energies are from PBE.

## Properties
Total magnetization (μB/cell): 11.83
Volume (Å³/atom): 14.26
Calculated formation energy (eV per atom): -0.19
ρ (g cm⁻³): 10.02

a = 8.4855 Å, b = 8.4855 Å, c = 8.4855 Å
α = 34.09°, β = 34.09°, γ = 34.09°
Atoms (fractional coordinates):
Ho 0.1391 0.1391 0.1391
Ho 0.8609 0.8609 0.8609
Lu 0.0000 0.0000 0.0000
Fe 0.5000 0.5000 0.5000
Co 0.0788 0.5830 0.5830
Co 0.3340 0.3340 0.3340
Co 0.4170 0.4170 0.9212
Co 0.4170 0.9212 0.4170
Co 0.5830 0.0788 0.5830
Co 0.5830 0.5830 0.0788
Co 0.6660 0.6660 0.6660
Co 0.9212 0.4170 0.4170

=====

Q: Which of these has the lowest total magnetization?
A: Ho2LuFeCo8

=====

Q: Which formula does entry 2 have?
A: HoLu2Fe7Co2